A geometry-optimized La2TlRh structure, computed with PBE.

It has space group Immm (No. 71), with a = 4.288 Å, b = 5.760 Å, c = 9.038 Å, α = 90.00°, β = 90.00° and γ = 90.00°. The inequivalent atoms are La at (0.000, 0.000, 0.205), Tl at (0.000, 0.500, 0.000) and Rh at (0.000, 0.500, 0.500).

The value obtained for the formation energy is -0.482 eV per atom. The polymorph energy (0 for the lowest one) comes out at 12.2 kJ per mole of atoms. Its total energy is -43.0 eV for the cell shown. For the density of states at the Fermi level, the calculation gives 1.8 states/eV/f.u.

A geometry-optimized LaTlRh3 structure, computed with PBE.

It has space group Pm-3m (No. 221), with a = 4.966 Å, b = 4.966 Å, c = 4.966 Å, α = 90.00°, β = 90.00° and γ = 90.00°. The inequivalent atoms are La at (0.000, 0.000, 0.000), Tl at (0.500, 0.500, 0.500) and Rh at (0.000, 0.000, 0.500).

The value obtained for the formation energy is 0.804 eV per atom. The polymorph energy (0 for the lowest one) comes out at 26.8 kJ per mole of atoms. Its total energy is -25.3 eV for the cell shown. For the density of states at the Fermi level, the calculation gives 6.8 states/eV/f.u.

A geometry-optimized La5Tl2Rh2 structure, computed with PBE.

It has space group Cmce (No. 64), with a = 16.468 Å, b = 7.315 Å, c = 8.929 Å, α = 90.00°, β = 90.00° and γ = 90.00°. The inequivalent atoms are La at (0.000, 0.000, 0.000), La at (0.119, 0.151, 0.322), Tl at (0.214, 0.000, 0.000) and Rh at (0.000, 0.142, 0.618).

The value obtained for the formation energy is -0.528 eV per atom. Its total energy is -195.3 eV for the cell shown. For the density of states at the Fermi level, the calculation gives 6.5 states/eV/f.u.

A geometry-optimized LaTlRh3 structure, computed with PBE.

It has space group Pm-3m (No. 221), with a = 4.964 Å, b = 4.964 Å, c = 4.964 Å, α = 90.00°, β = 90.00° and γ = 90.00°. The inequivalent atoms are La at (0.000, 0.000, 0.000), Tl at (0.500, 0.500, 0.500) and Rh at (0.000, 0.500, 0.500).

The value obtained for the formation energy is 0.527 eV per atom. The polymorph energy (0 for the lowest one) comes out at 0.0 kJ per mole of atoms. Its total energy is -26.7 eV for the cell shown. For the density of states at the Fermi level, the calculation gives 5.9 states/eV/f.u.

A geometry-optimized La6TlRh structure, computed with PBE.

It has space group C2/m (No. 12), with a = 8.388 Å, b = 10.289 Å, c = 6.618 Å, α = 90.00°, β = 106.34° and γ = 90.00°. The inequivalent atoms are La at (0.104, 0.199, 0.296), La at (0.203, 0.500, 0.105), Tl at (0.000, 0.500, 0.500) and Rh at (0.000, 0.000, 0.000).

The value obtained for the formation energy is -0.218 eV per atom. Its total energy is -82.1 eV for the cell shown. For the density of states at the Fermi level, the calculation gives 10.7 states/eV/f.u.

A geometry-optimized LaTlRh structure, computed with PBE.

It has space group P3m1 (No. 156), with a = 4.7559 Å, b = 4.7559 Å, c = 3.8588 Å, α = 90.00°, β = 90.00° and γ = 120.00°. The inequivalent atoms are La at (0.0000, 0.0000, 0.0000), Tl at (0.3333, 0.6667, 0.4999) and Rh at (0.6667, 0.3333, 0.4943).

The value obtained for the formation energy is -0.396 eV per atom. Its total energy is -15.8 eV for the cell shown. For the density of states at the Fermi level, the calculation gives 3.3 states/eV/f.u.

A geometry-optimized La2TlRh structure, computed with PBE.

It has space group Imm2 (No. 44), with a = 3.714 Å, b = 4.835 Å, c = 12.268 Å, α = 90.00°, β = 90.00° and γ = 90.00°. The inequivalent atoms are La at (0.000, 0.000, 0.000), La at (0.000, 0.500, 0.202), Tl at (0.000, 0.000, 0.395) and Rh at (0.000, 0.500, 0.703).

The value obtained for the formation energy is -0.441 eV per atom. The polymorph energy (0 for the lowest one) comes out at 16.2 kJ per mole of atoms. Its total energy is -42.7 eV for the cell shown. For the density of states at the Fermi level, the calculation gives 4.3 states/eV/f.u.

A geometry-optimized LaTlRh structure, computed with PBE.

It has space group I4mm (No. 107), with a = 3.513 Å, b = 3.513 Å, c = 11.751 Å, α = 90.00°, β = 90.00° and γ = 90.00°. The inequivalent atoms are La at (0.000, 0.000, 0.000), Tl at (0.000, 0.000, 0.284) and Rh at (0.000, 0.000, 0.644).

The value obtained for the formation energy is -0.365 eV per atom. Its total energy is -31.5 eV for the cell shown. For the density of states at the Fermi level, the calculation gives 2.5 states/eV/f.u.